[1]
Computed, not measured: crystalline YCo4Sn12 at its relaxed geometry at the GGA-PBE level of DFT.

Results
Spin magnetization (μB/cell): 0.01
Crystal system: cubic
Uncorrected energy (eV/cell): -84.366

The structure in POSCAR format:
```
YCo4Sn12
1.0
-4.605 4.605 4.605
4.605 -4.605 4.605
4.605 4.605 -4.605
Y Co Sn
1 4 12
Cartesian
0.000 0.000 0.000
2.303 2.303 -2.303
2.303 -2.303 2.303
-2.303 2.303 2.303
2.303 2.303 2.303
4.605 3.047 -1.576
3.029 0.000 1.558
6.181 0.000 1.558
1.558 3.029 0.000
3.047 -1.576 4.605
0.000 1.558 3.029
4.605 3.047 1.576
1.558 6.181 0.000
3.047 1.576 4.605
-1.576 4.605 3.047
1.576 4.605 3.047
0.000 1.558 6.181
```

***

[2]
Computed, not measured: crystalline Y2CoSn at its relaxed geometry at the GGA-PBE level of DFT.

Results
Spin magnetization (μB/cell): 0.00
Crystal system: tetragonal
Uncorrected energy (eV/cell): -48.618

The structure in POSCAR format:
```
Y2CoSn
1.0
-3.914 3.914 3.168
3.914 -3.914 3.168
3.914 3.914 -3.168
Y Co Sn
4 2 2
Cartesian
5.871 1.503 -0.792
1.503 1.957 0.792
-1.957 2.411 2.376
2.411 1.957 3.960
0.000 0.000 0.000
0.000 3.914 1.584
3.914 0.000 1.584
0.000 0.000 3.168
```

***

[3]
Computed, not measured: crystalline Y4CoSn at its relaxed geometry at the GGA-PBE level of DFT.

Results
Spin magnetization (μB/cell): 0.00
Crystal system: monoclinic
Uncorrected energy (eV/cell): -78.315

The structure in POSCAR format:
```
Y4CoSn
1.0
4.402 -6.600 0.000
4.402 6.600 0.000
-2.172 0.000 5.570
Y Co Sn
8 2 2
Cartesian
1.397 4.430 5.244
1.123 0.979 3.575
4.148 4.430 3.111
2.209 -0.979 0.790
4.423 0.979 4.780
2.484 -4.430 2.459
5.509 -0.979 1.995
5.234 -4.430 0.326
3.859 6.599 1.393
2.773 -6.599 4.178
3.859 1.694 1.393
2.773 -1.694 4.178
```

***

[4]
Computed, not measured: crystalline Y8Co2Sn at its relaxed geometry at the GGA-PBE level of DFT.

Results
Spin magnetization (μB/cell): 0.01
Crystal system: monoclinic
Uncorrected energy (eV/cell): -71.875

The structure in POSCAR format:
```
Y8Co2Sn
1.0
4.350 -6.610 0.000
4.350 6.610 0.000
-1.219 0.000 5.163
Y Co Sn
8 2 1
Cartesian
-0.006 0.000 4.136
2.092 1.729 2.202
4.350 3.304 0.000
2.092 -1.729 2.202
5.389 1.729 2.961
4.350 -3.304 0.000
5.389 -1.729 2.961
7.487 0.000 1.028
3.741 4.062 2.582
3.741 -4.062 2.582
4.350 0.000 0.000
```

***

[5]
Computed, not measured: crystalline Y3CoSn3 at its relaxed geometry at the GGA-PBE level of DFT.

Results
Spin magnetization (μB/cell): 0.00
Crystal system: monoclinic
Uncorrected energy (eV/cell): -86.043

The structure in POSCAR format:
```
Y3CoSn3
1.0
5.555 -2.216 0.000
5.555 2.216 0.000
-4.977 0.000 13.989
Y Co Sn
6 2 6
Cartesian
-1.673 0.000 5.362
-3.510 0.000 12.868
1.490 0.000 3.349
4.643 0.000 10.640
9.643 0.000 1.122
7.806 0.000 8.628
-0.198 0.000 8.546
6.331 0.000 5.443
1.547 0.000 6.449
-0.480 0.000 12.912
1.427 0.000 10.622
4.705 0.000 3.368
6.613 0.000 1.077
4.586 0.000 7.540
```

***

[6]
Computed, not measured: crystalline Y12Co6Sn at its relaxed geometry at the GGA-PBE level of DFT.

Results
Spin magnetization (μB/cell): 0.00
Crystal system: cubic
Uncorrected energy (eV/cell): -129.629

The structure in POSCAR format:
```
Y12Co6Sn
1.0
-4.850 4.850 4.850
4.850 -4.850 4.850
4.850 4.850 -4.850
Y Co Sn
12 6 1
Cartesian
4.850 2.962 -1.912
2.938 0.000 1.888
6.762 0.000 1.888
1.888 2.938 0.000
2.962 -1.912 4.850
0.000 1.888 2.938
4.850 2.962 1.912
1.888 6.762 0.000
2.962 1.912 4.850
-1.912 4.850 2.962
1.912 4.850 2.962
0.000 1.888 6.762
4.850 1.088 0.000
4.850 0.000 3.762
3.762 4.850 0.000
1.088 0.000 4.850
0.000 4.850 1.088
0.000 3.762 4.850
0.000 0.000 0.000
```

***

[7]
Computed, not measured: crystalline Y3Co8Sn4 at its relaxed geometry at the GGA-PBE level of DFT.

Results
Spin magnetization (μB/cell): 14.80
Crystal system: hexagonal
Uncorrected energy (eV/cell): -193.956

The structure in POSCAR format:
```
Y3Co8Sn4
1.0
8.917 0.000 0.000
-4.459 7.723 0.000
0.000 0.000 7.443
Y Co Sn
6 16 8
Cartesian
-1.836 4.089 0.000
1.836 4.089 0.000
0.000 7.268 0.000
4.459 0.454 3.721
2.623 3.634 3.721
6.294 3.634 3.721
0.000 0.000 1.654
0.000 0.000 5.375
0.000 1.505 7.270
-3.156 6.970 7.270
0.000 2.452 4.987
-2.335 6.496 4.987
1.303 0.752 3.548
2.124 1.226 1.266
0.000 5.148 2.157
4.459 2.574 5.878
2.335 6.496 4.987
3.156 6.970 7.270
6.794 1.226 1.266
4.459 5.270 1.266
7.614 0.752 3.548
4.459 6.218 3.548
0.000 2.651 2.210
-2.163 6.397 2.210
0.000 5.148 4.954
2.296 1.325 5.931
2.163 6.397 2.210
4.459 2.574 1.233
6.622 1.325 5.931
4.459 5.072 5.931
```

***

[8]
Computed, not measured: crystalline YCo3Sn3 at its relaxed geometry at the GGA-PBE level of DFT.

Results
Spin magnetization (μB/cell): 0.00
Crystal system: cubic
Uncorrected energy (eV/cell): -74.298

The structure in POSCAR format:
```
YCo3Sn3
1.0
6.857 0.000 0.000
0.000 6.857 0.000
0.000 0.000 6.857
Y Co Sn
2 6 6
Cartesian
0.000 0.000 0.000
3.428 3.428 3.428
0.000 1.714 3.428
0.000 5.143 3.428
1.714 3.428 0.000
3.428 0.000 1.714
3.428 0.000 5.143
5.143 3.428 0.000
0.000 3.428 1.714
0.000 3.428 5.143
1.714 0.000 3.428
3.428 1.714 0.000
3.428 5.143 0.000
5.143 0.000 3.428
```

***

Q: Which value of spin magnetization does entry 8 give?
A: 0.00 μB/cell

***

Q: Which formula does entry 8 have?
A: YCo3Sn3

***

Q: What is the spin magnetization in the second record?
A: 0.00 μB/cell